# LaPm3In3, optimized geometry, DFT PBE
data_LaPm3In3
_chemical_formula_sum 'La2 Pm6 In6'
_symmetry_space_group_name_H-M 'P 1'
_symmetry_Int_Tables_number 1
_symmetry_space_group_name_Hall 'P 1'
_cell_length_a 5.625
_cell_length_b 9.287
_cell_length_c 9.287
_cell_angle_alpha 120.00
_cell_angle_beta 90.00
_cell_angle_gamma 90.00
loop_
_atom_site_label
_atom_site_type_symbol
_atom_site_fract_x
_atom_site_fract_y
_atom_site_fract_z
Pm1 Pm 0.250 0.093 0.646
Pm2 Pm 0.750 0.907 0.354
Pm3 Pm 0.250 0.553 0.907
Pm4 Pm 0.750 0.447 0.093
Pm5 Pm 0.250 0.354 0.447
Pm6 Pm 0.750 0.646 0.553
In1 In 0.250 0.226 0.045
In2 In 0.750 0.182 0.226
In3 In 0.250 0.818 0.774
In4 In 0.750 0.774 0.955
In5 In 0.250 0.955 0.182
In6 In 0.750 0.045 0.818
La1 La 0.250 0.667 0.333
La2 La 0.750 0.333 0.667
# Space group: P6_3/m, No. 176
# Energy, eV per atom: -4.12
# Spin magnetization, Bohr magnetons per cell: 0.0